Version A
The following is a PBE-GGA calculation of HIrRu2 after structural relaxation, from Alexandria via LeMat-Bulk.

```
HIrRu2
1.0
1.384 0.799 6.695
-1.384 0.799 6.695
0.000 -1.598 6.695
H Ir Ru
1 1 2
Direct
0.000 0.000 0.000
0.500 0.500 0.500
0.276 0.276 0.276
0.724 0.724 0.724
```

Output
* SG: R-3m, No. 166


Version B
The following is a PBE-GGA calculation of HIrRu2 after structural relaxation, from Alexandria via LeMat-Bulk.

```
HIrRu2
1.0
-2.996 2.996 2.606
2.996 -2.996 2.606
2.996 2.996 -2.606
H Ir Ru
2 2 4
Direct
0.000 0.000 0.000
0.750 0.250 0.500
0.250 0.750 0.500
0.500 0.500 0.000
0.026 0.625 0.901
0.375 0.276 0.401
0.724 0.125 0.099
0.875 0.974 0.599
```

Output
* SG: I-42d, No. 122


Version C
The following is a PBE-GGA calculation of HIrRu2 after structural relaxation, from Alexandria via LeMat-Bulk.

```
HIrRu2
1.0
0.000 2.939 2.939
2.939 0.000 2.939
2.939 2.939 0.000
H Ir Ru
1 1 2
Direct
0.000 0.000 0.000
0.500 0.500 0.500
0.250 0.250 0.250
0.750 0.750 0.750
```

Output
* SG: Fm-3m, No. 225


Stability, descending: version A, version B, version C


Version A
The following is a PBE-GGA calculation of HIr2Ru after structural relaxation, from Alexandria via LeMat-Bulk.

```
HIr2Ru
1.0
0.000 2.948 2.948
2.948 0.000 2.948
2.948 2.948 0.000
H Ir Ru
1 2 1
Direct
0.000 0.000 0.000
0.250 0.250 0.250
0.750 0.750 0.750
0.500 0.500 0.500
```

Output
* SG: Fm-3m, No. 225


Version B
The following is a PBE-GGA calculation of HIr2Ru after structural relaxation, from Alexandria via LeMat-Bulk.

```
HIr2Ru
1.0
-3.065 3.065 2.539
3.065 -3.065 2.539
3.065 3.065 -2.539
H Ir Ru
2 4 2
Direct
0.000 0.000 0.000
0.750 0.250 0.500
0.026 0.125 0.401
0.375 0.974 0.099
0.724 0.625 0.599
0.875 0.276 0.901
0.250 0.750 0.500
0.500 0.500 0.000
```

Output
* SG: I-42d, No. 122


Stability, descending: version B, version A


Version A
The following is a PBE-GGA calculation of HIr3Ru after structural relaxation, from Alexandria via LeMat-Bulk.

```
HIr3Ru
1.0
4.704 0.000 0.000
0.000 4.704 0.000
0.000 0.000 4.704
H Ir Ru
1 3 1
Direct
0.000 0.000 0.000
0.000 0.500 0.500
0.500 0.000 0.500
0.500 0.500 0.000
0.500 0.500 0.500
```

Output
* SG: Pm-3m, No. 221


Version B
The following is a PBE-GGA calculation of HIr3Ru after structural relaxation, from Alexandria via LeMat-Bulk.

```
HIr3Ru
1.0
3.918 0.000 0.000
0.000 3.918 0.000
0.000 0.000 3.918
H Ir Ru
1 3 1
Direct
0.000 0.000 0.000
0.000 0.000 0.500
0.000 0.500 0.000
0.500 0.000 0.000
0.500 0.500 0.500
```

Output
* SG: Pm-3m, No. 221


Stability, descending: version B, version A


Version A
The following is a PBE-GGA calculation of H3IrRu after structural relaxation, from Alexandria via LeMat-Bulk.

```
H3IrRu
1.0
3.433 0.000 0.000
0.000 3.433 0.000
0.000 0.000 3.433
H Ir Ru
3 1 1
Direct
0.000 0.000 0.500
0.000 0.500 0.000
0.500 0.000 0.000
0.000 0.000 0.000
0.500 0.500 0.500
```

Output
* SG: Pm-3m, No. 221


Version B
The following is a PBE-GGA calculation of H3IrRu after structural relaxation, from Alexandria via LeMat-Bulk.

```
H3IrRu
1.0
3.392 0.000 0.000
0.000 3.392 0.000
0.000 0.000 3.392
H Ir Ru
3 1 1
Direct
0.000 0.000 0.500
0.000 0.500 0.000
0.500 0.000 0.000
0.500 0.500 0.500
0.000 0.000 0.000
```

Output
* SG: Pm-3m, No. 221


Stability, descending: version A, version B